Record 1
Below is a relaxed Tl2InIr crystal, with properties calculated at the GGA-PBE level.

Cell and atoms, written as CIF:
```
data_Tl2InIr
_chemical_formula_sum 'Tl2 In1 Ir1'
_cell_length_a 5.097
_cell_length_b 5.097
_cell_length_c 3.484
_cell_angle_alpha 90.00
_cell_angle_beta 90.00
_cell_angle_gamma 90.00
_space_group_name_H-M_alt 'P 4/m m m'
_space_group_IT_number 123
_space_group_name_Hall '-P 4 2'
loop_
_atom_site_label
_atom_site_type_symbol
_atom_site_fract_x
_atom_site_fract_y
_atom_site_fract_z
Tl1 Tl 0.000 0.500 0.000
In1 In 0.000 0.000 0.500
Ir1 Ir 0.500 0.500 0.500
```

- Polymorph energy (0 for the lowest one): 466.6 meV per atom
- Theoretical density: 13.14 g/cm³
- Electronic total energy: -3.53 eV per atom
- Calculated formation energy: 2.23 eV per formula unit


Record 2
Below is a relaxed CdGe3F crystal, with properties calculated at the GGA-PBE level.

Cell and atoms, written as CIF:
```
data_CdGe3F
_chemical_formula_sum 'Cd1 Ge3 F1'
_cell_length_a 5.189
_cell_length_b 5.189
_cell_length_c 5.189
_cell_angle_alpha 90.00
_cell_angle_beta 90.00
_cell_angle_gamma 90.00
_space_group_name_H-M_alt 'P m -3 m'
_space_group_IT_number 221
_space_group_name_Hall '-P 4 2 3'
loop_
_atom_site_label
_atom_site_type_symbol
_atom_site_fract_x
_atom_site_fract_y
_atom_site_fract_z
Cd1 Cd 0.000 0.000 0.000
Ge1 Ge 0.000 0.000 0.500
F1 F 0.500 0.500 0.500
```

- Polymorph energy (0 for the lowest one): 636.4 meV per atom
- Theoretical density: 4.15 g/cm³
- Electronic total energy: -2.70 eV per atom
- ΔE_f (raw): 0.623 eV/atom


Record 3
Below is a relaxed NaTlCr2 crystal, with properties calculated at the GGA-PBE level.

Cell and atoms, written as CIF:
```
data_NaTlCr2
_chemical_formula_sum 'Na4 Tl4 Cr8'
_cell_length_a 6.838
_cell_length_b 6.838
_cell_length_c 6.838
_cell_angle_alpha 90.00
_cell_angle_beta 90.00
_cell_angle_gamma 90.00
_space_group_name_H-M_alt 'F m -3 m'
_space_group_IT_number 225
_space_group_name_Hall '-F 4 2 3'
loop_
_atom_site_label
_atom_site_type_symbol
_atom_site_fract_x
_atom_site_fract_y
_atom_site_fract_z
Na1 Na 0.000 0.000 0.000
Tl1 Tl 0.000 0.000 0.500
Cr1 Cr 0.250 0.250 0.250
```

- Polymorph energy (0 for the lowest one): 0.0 meV per atom
- Theoretical density: 6.89 g/cm³
- Electronic total energy: -4.98 eV per atom
- Calculated formation energy: 3.00 eV per formula unit


Record 4
Below is a relaxed Pd5Pt2 crystal, with properties calculated at the GGA-PBE level.

Cell and atoms, written as CIF:
```
data_Pd5Pt2
_chemical_formula_sum 'Pd10 Pt4'
_cell_length_a 4.811
_cell_length_b 6.670
_cell_length_c 7.248
_cell_angle_alpha 88.42
_cell_angle_beta 89.96
_cell_angle_gamma 68.99
_space_group_name_H-M_alt 'P -1'
_space_group_IT_number 2
loop_
_space_group_symop_operation_xyz
'x,y,z'
'-x,-y,-z'
loop_
_atom_site_label
_atom_site_type_symbol
_atom_site_fract_x
_atom_site_fract_y
_atom_site_fract_z
Pd1 Pd 0.023 0.286 0.037
Pd2 Pd 0.121 0.428 0.675
Pd3 Pd 0.164 0.000 0.750
Pd4 Pd 0.309 0.714 0.463
Pd5 Pd 0.451 0.428 0.176
Pt1 Pt 0.266 0.142 0.391
Pt2 Pt 0.407 0.859 0.109
```

- Polymorph energy (0 for the lowest one): 40.8 meV per atom
- Theoretical density: 14.11 g/cm³
- Electronic total energy: -5.41 eV per atom
- Calculated formation energy: 0.17 eV per formula unit


Record 5
Below is a relaxed Li7YHg4 crystal, with properties calculated at the GGA-PBE level.

Cell and atoms, written as CIF:
```
data_Li7YHg4
_chemical_formula_sum 'Li14 Y2 Hg8'
_cell_length_a 13.430
_cell_length_b 5.028
_cell_length_c 9.055
_cell_angle_alpha 90.00
_cell_angle_beta 127.34
_cell_angle_gamma 90.00
_space_group_name_H-M_alt 'C 1 2/m 1'
_space_group_IT_number 12
loop_
_space_group_symop_operation_xyz
'x,y,z'
'-x,-y,-z'
'-x,y,-z'
'x,-y,z'
'x+1/2,y+1/2,z'
'-x+1/2,-y+1/2,-z'
'-x+1/2,y+1/2,-z'
'x+1/2,-y+1/2,z'
loop_
_atom_site_label
_atom_site_type_symbol
_atom_site_fract_x
_atom_site_fract_y
_atom_site_fract_z
Li1 Li 0.000 0.000 0.000
Li2 Li 0.053 0.500 0.402
Li3 Li 0.186 0.000 0.632
Li4 Li 0.214 0.500 0.871
Y1 Y 0.000 0.500 0.000
Hg1 Hg 0.068 0.000 0.783
Hg2 Hg 0.197 0.000 0.339
```

- Theoretical density: 6.42 g/cm³
- Electronic total energy: -1.89 eV per atom
- Calculated formation energy: -1.57 eV per formula unit


Record 6
Below is a relaxed NbAlNi6 crystal, with properties calculated at the GGA-PBE level.

Cell and atoms, written as CIF:
```
data_NbAlNi6
_chemical_formula_sum 'Nb1 Al1 Ni6'
_cell_length_a 3.640
_cell_length_b 3.640
_cell_length_c 7.177
_cell_angle_alpha 90.00
_cell_angle_beta 90.00
_cell_angle_gamma 90.00
_space_group_name_H-M_alt 'P 4/m m m'
_space_group_IT_number 123
_space_group_name_Hall '-P 4 2'
loop_
_atom_site_label
_atom_site_type_symbol
_atom_site_fract_x
_atom_site_fract_y
_atom_site_fract_z
Nb1 Nb 0.000 0.000 0.000
Al1 Al 0.000 0.000 0.500
Ni1 Ni 0.000 0.500 0.255
Ni2 Ni 0.500 0.500 0.000
Ni3 Ni 0.500 0.500 0.500
```

- Polymorph energy (0 for the lowest one): 0.0 meV per atom
- Theoretical density: 8.24 g/cm³
- Electronic total energy: -6.45 eV per atom
- Calculated formation energy: -3.11 eV per formula unit


Record 7
Below is a relaxed LaPrYEr2 crystal, with properties calculated at the GGA-PBE level.

Cell and atoms, written as CIF:
```
data_LaPrYEr2
_chemical_formula_sum 'La4 Pr4 Y4 Er8'
_cell_length_a 6.499
_cell_length_b 16.722
_cell_length_c 6.467
_cell_angle_alpha 90.00
_cell_angle_beta 90.00
_cell_angle_gamma 90.00
_space_group_name_H-M_alt 'C m c m'
_space_group_IT_number 63
_space_group_name_Hall '-C 2c 2'
loop_
_atom_site_label
_atom_site_type_symbol
_atom_site_fract_x
_atom_site_fract_y
_atom_site_fract_z
La1 La 0.000 0.226 0.250
Pr1 Pr 0.000 0.156 0.750
Y1 Y 0.000 0.347 0.750
Er1 Er 0.247 0.000 0.000
```

- Theoretical density: 6.65 g/cm³
- Electronic total energy: -4.74 eV per atom
- Calculated formation energy: 1.60 eV per formula unit


Record 8
Below is a relaxed Li3Hg2Ge crystal, with properties calculated at the GGA-PBE level.

Cell and atoms, written as CIF:
```
data_Li3Hg2Ge
_chemical_formula_sum 'Li6 Hg4 Ge2'
_cell_length_a 4.456
_cell_length_b 7.033
_cell_length_c 7.157
_cell_angle_alpha 90.00
_cell_angle_beta 108.09
_cell_angle_gamma 90.00
_space_group_name_H-M_alt 'P 1 2/m 1'
_space_group_IT_number 10
loop_
_space_group_symop_operation_xyz
'x,y,z'
'-x,-y,-z'
'-x,y,-z'
'x,-y,z'
loop_
_atom_site_label
_atom_site_type_symbol
_atom_site_fract_x
_atom_site_fract_y
_atom_site_fract_z
Li1 Li 0.000 0.235 0.000
Li2 Li 0.333 0.246 0.662
Hg1 Hg 0.162 0.500 0.326
Hg2 Hg 0.500 0.000 0.000
Hg3 Hg 0.500 0.500 0.000
Ge1 Ge 0.175 0.000 0.357
```

- Theoretical density: 7.70 g/cm³
- Electronic total energy: -2.14 eV per atom
- Calculated formation energy: -1.90 eV per formula unit


Record 9
Below is a relaxed RbSr2VCl8 crystal, with properties calculated at the GGA-PBE level.

Cell and atoms, written as CIF:
```
data_RbSr2VCl8
_chemical_formula_sum 'Rb1 Sr2 V1 Cl8'
_cell_length_a 6.379
_cell_length_b 6.558
_cell_length_c 8.971
_cell_angle_alpha 89.98
_cell_angle_beta 89.95
_cell_angle_gamma 89.46
_space_group_name_H-M_alt 'P -1'
_space_group_IT_number 2
loop_
_space_group_symop_operation_xyz
'x,y,z'
'-x,-y,-z'
loop_
_atom_site_label
_atom_site_type_symbol
_atom_site_fract_x
_atom_site_fract_y
_atom_site_fract_z
Rb1 Rb 0.000 0.000 0.000
Sr1 Sr 0.500 0.500 0.258
V1 V 0.000 0.000 0.500
Cl1 Cl 0.214 0.846 0.688
Cl2 Cl 0.214 0.847 0.311
Cl3 Cl 0.237 0.299 0.500
Cl4 Cl 0.264 0.390 0.000
```

- Theoretical density: 2.63 g/cm³
- Electronic total energy: -4.26 eV per atom
- ΔE_f (raw): -1.908 eV/atom


Record 10
Below is a relaxed Pm3Al2Cd crystal, with properties calculated at the GGA-PBE level.

Cell and atoms, written as CIF:
```
data_Pm3Al2Cd
_chemical_formula_sum 'Pm3 Al2 Cd1'
_cell_length_a 3.587
_cell_length_b 3.587
_cell_length_c 12.209
_cell_angle_alpha 90.00
_cell_angle_beta 90.00
_cell_angle_gamma 90.00
_space_group_name_H-M_alt 'P 4/m m m'
_space_group_IT_number 123
_space_group_name_Hall '-P 4 2'
loop_
_atom_site_label
_atom_site_type_symbol
_atom_site_fract_x
_atom_site_fract_y
_atom_site_fract_z
Pm1 Pm 0.000 0.000 0.000
Pm2 Pm 0.000 0.000 0.322
Al1 Al 0.500 0.500 0.164
Cd1 Cd 0.500 0.500 0.500
```

- Theoretical density: 6.36 g/cm³
- Electronic total energy: -4.13 eV per atom
- Calculated formation energy: -2.12 eV per formula unit


Record 11
Below is a relaxed K2CeMgS4 crystal, with properties calculated at the GGA-PBE level.

Cell and atoms, written as CIF:
```
data_K2CeMgS4
_chemical_formula_sum 'K2 Ce1 Mg1 S4'
_cell_length_a 6.807
_cell_length_b 4.086
_cell_length_c 7.695
_cell_angle_alpha 90.00
_cell_angle_beta 107.94
_cell_angle_gamma 90.00
_space_group_name_H-M_alt 'P 1 2/m 1'
_space_group_IT_number 10
loop_
_space_group_symop_operation_xyz
'x,y,z'
'-x,-y,-z'
'-x,y,-z'
'x,-y,z'
loop_
_atom_site_label
_atom_site_type_symbol
_atom_site_fract_x
_atom_site_fract_y
_atom_site_fract_z
K1 K 0.000 0.000 0.000
K2 K 0.500 0.500 0.000
Ce1 Ce 0.000 0.500 0.500
Mg1 Mg 0.500 0.000 0.500
S1 S 0.237 0.000 0.702
S2 S 0.271 0.500 0.307
```

- Theoretical density: 3.02 g/cm³
- Electronic total energy: -4.81 eV per atom
- ΔE_f (raw): -1.528 eV/atom